DFT (PBE) results for Mg6V after structural relaxation.

Results
* E: -2.432 eV per atom
* symmetry: Fm-3m, No. 225
* calculated formation energy: 0.238 eV/atom

Unit cell a=6.140 b=6.140 c=6.140 alpha=60.00 beta=60.00 gamma=60.00
Atoms (fractional coordinates):
Mg  0.000  0.000  0.500
Mg  0.000  0.500  0.000
Mg  0.000  0.500  0.500
Mg  0.500  0.000  0.000
Mg  0.500  0.000  0.500
Mg  0.500  0.500  0.000
V  0.000  0.000  0.000